Below is a relaxed MgTe2Au crystal, with properties calculated at the GGA-PBE level.

Summary:
As for the crystal system: orthorhombic. As for the formation energy from raw total energies: -151 meV per atom.

abc: 4.032 7.161 3.977
angles: 90.00 90.00 90.00
Positions (direct):
Au 0.500 0.000 0.500
Mg 0.000 0.500 0.500
Te 0.000 0.000 0.000
Te 0.500 0.500 0.000

Below is a relaxed ScZn2SnMo crystal, with properties calculated at the GGA-PBE level.

Summary:
As for the crystal system: tetragonal. Its formation energy is 0.508 eV per atom.

abc: 4.846 5.079 4.846
angles: 90.00 90.00 90.00
Positions (direct):
Sc 0.500 0.500 0.500
Zn 0.000 0.000 0.500
Zn 0.500 0.000 0.000
Mo 0.000 0.000 0.000
Sn 0.000 0.500 0.000

Number 1: DOS(E_F) 1.66 states/eV/cell, total magnetization 0.0 μB/cell. Number 2: DOS(E_F) 4.34 states/eV/cell, total magnetization 0.0 μB/cell.